[1]
This record from the Alexandria database describes an optimized crystal structure of BaCr3S. The functional is PBE.

Results
Magnetic moment (μB/f.u.): 13.87
Energy relative to the elements, uncorrected (eV/atom): 2.437
E above lowest polymorph (meV/atom): 1833

a = 5.3837 Å, b = 5.3837 Å, c = 5.3837 Å
α = 90.00°, β = 90.00°, γ = 90.00°
Space group Pm-3m (No. 221)
Asymmetric unit:
Ba: 0.0000 0.0000 0.0000 x1
Cr: 0.0000 0.0000 0.5000 x3
S: 0.5000 0.5000 0.5000 x1

[2]
This record from the Alexandria database describes an optimized crystal structure of Mn2CuNi. The functional is PBE.

Results
Magnetic moment (μB/f.u.): 5.65
Energy of formation (eV/atom): 0.1649

a = 2.8915 Å, b = 2.8915 Å, c = 5.7277 Å
α = 90.00°, β = 90.00°, γ = 90.00°
Space group P4mm (No. 99)
Asymmetric unit:
Mn: 0.0000 0.0000 0.0000 x1
Mn: 0.5000 0.5000 0.2640 x1
Cu: 0.5000 0.5000 0.7435 x1
Ni: 0.0000 0.0000 0.4920 x1

[3]
This record from the Alexandria database describes an optimized crystal structure of Ce2TaGe3Pt4. The functional is PBE.

Results
Magnetic moment (μB/f.u.): 0.75
Energy of formation (eV/atom): -0.8314

a = 4.3001 Å, b = 4.3001 Å, c = 10.5703 Å
α = 90.00°, β = 90.00°, γ = 90.00°
Space group P-4m2 (No. 115)
Asymmetric unit:
Ce: 0.0000 0.5000 0.2389 x2
Ta: 0.0000 0.0000 0.5000 x1
Ge: 0.0000 0.5000 0.8685 x2
Ge: 0.5000 0.5000 0.5000 x1
Pt: 0.0000 0.0000 0.0000 x1
Pt: 0.0000 0.5000 0.6351 x2
Pt: 0.5000 0.5000 0.0000 x1

[4]
This record from the Alexandria database describes an optimized crystal structure of Ta2SiTc. The functional is PBE.

Results
Magnetic moment (μB/f.u.): 0.00
Energy relative to the elements, uncorrected (eV/atom): -0.239

a = 5.5635 Å, b = 7.4173 Å, c = 3.1073 Å
α = 90.00°, β = 90.00°, γ = 90.00°
Space group Cmmm (No. 65)
Asymmetric unit:
Ta: 0.2500 0.2500 0.0000 x4
Si: 0.0000 0.0000 0.5000 x2
Tc: 0.0000 0.5000 0.5000 x2

[5]
This record from the Alexandria database describes an optimized crystal structure of Li2BeAu6. The functional is PBE.

Results
Magnetic moment (μB/f.u.): 0.00
E above lowest polymorph (meV/atom): 93
Energy of formation (eV/atom): -0.2254

a = 3.7845 Å, b = 7.1771 Å, c = 12.0649 Å
α = 90.00°, β = 90.00°, γ = 90.00°
Space group Immm (No. 71)
Asymmetric unit:
Li: 0.0000 0.0000 0.1460 x4
Be: 0.0000 0.0000 0.5000 x2
Au: 0.0000 0.2183 0.3319 x8
Au: 0.0000 0.2940 0.0000 x4

[6]
This record from the Alexandria database describes an optimized crystal structure of LiSbCl2. The functional is PBE.

Results
Magnetic moment (μB/f.u.): 0.00
Energy relative to the elements, uncorrected (eV/atom): -0.884
E above lowest polymorph (meV/atom): 193

a = 3.4847 Å, b = 3.4847 Å, c = 23.7874 Å
α = 90.00°, β = 90.00°, γ = 120.00°
Space group R3m (No. 160, hexagonal axes)
Asymmetric unit:
Li: 0.0000 0.0000 0.0000 x3
Sb: 0.0000 0.0000 0.1670 x3
Cl: 0.0000 0.0000 0.3972 x3
Cl: 0.0000 0.0000 0.6041 x3

no.,volume (Å³/f.u.)
1,156
2,48
3,195
4,64
5,164
6,83